Entry 1:
Compound: HfSe2
Source: Alexandria via LeMat-Bulk
Functional: GGA-PBE
Structure: relaxed

Cell and atoms, written as POSCAR:
```
HfSe2
1.0
3.672 0.000 0.000
-1.836 3.180 0.000
0.000 0.000 13.893
Se Hf
4 2
direct
0.333 0.667 0.129
0.667 0.333 0.629
0.333 0.667 0.371
0.667 0.333 0.871
0.000 0.000 0.250
0.000 0.000 0.750
```

## Properties
- ΔE_f (raw) (eV/atom) = -1.18

Entry 2:
Compound: PdPt6Au2
Source: Alexandria via LeMat-Bulk
Functional: GGA-PBE
Structure: relaxed

Cell and atoms, written as POSCAR:
```
PdPt6Au2
1.0
2.607 0.000 0.800
0.991 6.902 1.419
-1.061 0.208 8.103
Au Pt Pd
2 6 1
direct
0.884 0.175 0.058
0.116 0.825 0.942
0.173 0.484 0.171
0.943 0.831 0.283
0.711 0.171 0.408
0.289 0.829 0.592
0.057 0.169 0.717
0.827 0.516 0.829
0.000 0.500 0.500
```

## Properties
- formation energy from the elements (meV/atom) = 153

Entry 3:
Compound: Ba4GaHI2
Source: Alexandria via LeMat-Bulk
Functional: GGA-PBE
Structure: relaxed

Cell and atoms, written as POSCAR:
```
Ba4GaHI2
1.0
4.698 0.000 0.000
0.000 7.968 0.076
0.000 -2.867 8.609
I Ba H Ga
2 4 1 1
direct
0.500 0.000 0.500
0.000 0.500 0.500
0.000 0.251 0.784
0.500 0.768 0.798
0.000 0.749 0.216
0.500 0.232 0.202
0.000 0.000 0.000
0.500 0.500 0.000
```

## Properties
- raw total energy (eV per formula unit) = -23.65